Record 1
Sr2H2Rh: relaxed, PBE-GGA.

Lattice parameters (Å, degrees): 3.727 3.727 13.897 90.00 90.00 90.00
Space group I4/mmm (No. 139)
Unique sites:
Sr1 0.000 0.000 0.141 x4
H1 0.000 0.500 0.250 x4
Rh1 0.000 0.000 0.500 x2

Calculated values
DFT total energy: -18.467 eV per formula unit



Record 2
SrH3Rh: relaxed, PBE-GGA.

Lattice parameters (Å, degrees): 12.665 3.261 5.949 90.00 104.15 90.00
Space group C2/m (No. 12)
Unique sites:
Sr1 0.106 0.000 0.308 x4
H1 0.091 0.000 0.739 x4
H2 0.195 0.500 0.584 x4
H3 0.206 0.000 0.990 x4
Rh1 0.152 0.500 0.840 x4

Calculated values
DFT total energy: -20.244 eV per formula unit



Record 3
SrH2Rh2: relaxed, PBE-GGA.

Lattice parameters (Å, degrees): 6.815 6.815 2.956 90.00 90.00 90.00
Space group P4/mbm (No. 127)
Unique sites:
Sr1 0.000 0.000 0.000 x2
H1 0.084 0.416 0.000 x4
Rh1 0.128 0.628 0.500 x4

Calculated values
DFT total energy: -21.540 eV per formula unit



Record 4
SrH3Rh: relaxed, PBE-GGA.

Lattice parameters (Å, degrees): 3.861 3.861 17.108 90.00 90.00 90.00
Space group I-4m2 (No. 119)
Unique sites:
Sr1 0.000 0.000 0.000 x2
Sr2 0.000 0.500 0.250 x2
H1 0.000 0.000 0.346 x4
H2 0.000 0.397 0.102 x8
Rh1 0.000 0.500 0.649 x4

Calculated values
DFT total energy: -18.633 eV per formula unit



Record 5
SrH3Rh: relaxed, PBE-GGA.

Lattice parameters (Å, degrees): 4.292 4.292 4.292 90.00 90.00 90.00
Space group Pm-3m (No. 221)
Unique sites:
Sr1 0.000 0.000 0.000 x1
H1 0.000 0.000 0.500 x3
Rh1 0.500 0.500 0.500 x1

Calculated values
DFT total energy: -14.783 eV per formula unit



Record 6
Sr6HRh: relaxed, PBE-GGA.

Lattice parameters (Å, degrees): 7.2319 7.2319 20.7600 90.00 90.00 120.00
Space group R-3 (No. 148, hexagonal axes)
Unique sites:
Sr1 0.0028 0.3461 0.2502 x18
H1 0.0000 0.0000 0.5000 x3
Rh1 0.0000 0.0000 0.0000 x3

Calculated values
DFT total energy: -22.270 eV per formula unit



Record 7
SrH3Rh: relaxed, PBE-GGA.

Lattice parameters (Å, degrees): 5.671 6.254 6.461 90.00 90.00 90.00
Space group Pnma (No. 62)
Unique sites:
Sr1 0.000 0.000 0.000 x4
H1 0.073 0.039 0.384 x8
H2 0.248 0.750 0.244 x4
Rh1 0.021 0.750 0.441 x4

Calculated values
DFT total energy: -20.646 eV per formula unit



Record 8
SrH3Rh: relaxed, PBE-GGA.

Lattice parameters (Å, degrees): 4.933 12.515 4.130 90.00 90.00 90.00
Space group Ama2 (No. 40)
Unique sites:
Sr1 0.250 0.132 0.000 x4
H1 0.000 0.000 0.621 x4
H2 0.023 0.316 0.983 x8
Rh1 0.250 0.411 0.005 x4

Calculated values
DFT total energy: -21.557 eV per formula unit



Record 9
SrH3Rh: relaxed, PBE-GGA.

Lattice parameters (Å, degrees): 3.774 3.774 3.774 90.00 90.00 90.00
Space group Pm-3m (No. 221)
Unique sites:
Sr1 0.000 0.000 0.000 x1
H1 0.000 0.500 0.500 x3
Rh1 0.500 0.500 0.500 x1

Calculated values
DFT total energy: -21.859 eV per formula unit



Record 10
Sr2H2Rh: relaxed, PBE-GGA.

Lattice parameters (Å, degrees): 5.247 5.247 7.544 90.00 90.00 90.00
Space group I4/mmm (No. 139)
Unique sites:
Sr1 0.000 0.500 0.250 x4
H1 0.000 0.000 0.226 x4
Rh1 0.000 0.000 0.000 x2

Calculated values
DFT total energy: -19.755 eV per formula unit



Record 11
SrH3Rh: relaxed, PBE-GGA.

Lattice parameters (Å, degrees): 6.640 4.999 8.535 90.00 109.06 90.00
Space group P2_1/c (No. 14)
Unique sites:
Sr1 0.215 0.240 0.178 x4
H1 0.147 0.584 0.908 x4
H2 0.352 0.098 0.960 x4
H3 0.495 0.002 0.610 x4
Rh1 0.382 0.748 0.470 x4

Calculated values
DFT total energy: -21.162 eV per formula unit



Record 12
SrH2Rh2: relaxed, PBE-GGA.

Lattice parameters (Å, degrees): 3.868 3.868 10.009 90.00 90.00 90.00
Space group I4/mmm (No. 139)
Unique sites:
Sr1 0.000 0.000 0.000 x2
H1 0.000 0.000 0.265 x4
Rh1 0.000 0.500 0.250 x4

Calculated values
DFT total energy: -24.107 eV per formula unit



Record 13
SrHRh3: relaxed, PBE-GGA.

Lattice parameters (Å, degrees): 4.172 4.172 4.172 90.00 90.00 90.00
Space group Pm-3m (No. 221)
Unique sites:
Sr1 0.000 0.000 0.000 x1
H1 0.500 0.500 0.500 x1
Rh1 0.000 0.500 0.500 x3

Calculated values
DFT total energy: -26.934 eV per formula unit



Record 14
SrH8Rh2: relaxed, PBE-GGA.

Lattice parameters (Å, degrees): 5.337 8.674 3.852 90.00 90.07 90.00
Space group C2/m (No. 12)
Unique sites:
Sr1 0.000 0.000 0.000 x2
H1 0.000 0.316 0.000 x4
H2 0.003 0.500 0.736 x4
H3 0.177 0.151 0.501 x8
Rh1 0.000 0.327 0.500 x4

Calculated values
DFT total energy: -45.921 eV per formula unit



Record 15
Sr2HRh: relaxed, PBE-GGA.

Lattice parameters (Å, degrees): 7.060 7.060 7.887 90.00 90.00 90.00
Space group I-42d (No. 122)
Unique sites:
Sr1 0.201 0.250 0.125 x8
H1 0.000 0.000 0.000 x4
Rh1 0.000 0.000 0.500 x4

Calculated values
DFT total energy: -14.498 eV per formula unit



Record 16
Sr5H12Rh2: relaxed, PBE-GGA.

Lattice parameters (Å, degrees): 12.385 5.987 7.871 90.00 107.48 90.00
Space group C2/m (No. 12)
Unique sites:
Sr1 0.000 0.000 0.000 x2
Sr2 0.164 0.500 0.848 x4
Sr3 0.192 0.500 0.340 x4
H1 0.000 0.000 0.359 x4
H2 0.008 0.500 0.379 x4
H3 0.145 0.253 0.572 x8
H4 0.169 0.240 0.092 x8
Rh1 0.000 0.245 0.500 x4

Calculated values
DFT total energy: -71.256 eV per formula unit



Record 17
SrH3Rh: relaxed, PBE-GGA.

Lattice parameters (Å, degrees): 10.085 3.874 6.078 90.00 99.60 90.00
Space group C2/m (No. 12)
Unique sites:
Sr1 0.109 0.000 0.324 x4
H1 0.049 0.500 0.138 x4
H2 0.143 0.500 0.618 x4
H3 0.184 0.000 0.938 x4
Rh1 0.134 0.500 0.905 x4

Calculated values
DFT total energy: -20.846 eV per formula unit



Record 18
SrH2Rh2: relaxed, PBE-GGA.

Lattice parameters (Å, degrees): 3.742 3.742 10.313 90.00 90.00 90.00
Space group I4/mmm (No. 139)
Unique sites:
Sr1 0.000 0.000 0.000 x2
H1 0.000 0.500 0.250 x4
Rh1 0.000 0.000 0.285 x4

Calculated values
DFT total energy: -24.060 eV per formula unit



Record 19
SrH3Rh: relaxed, PBE-GGA.

Lattice parameters (Å, degrees): 5.234 8.418 5.762 90.00 93.56 90.00
Space group C2/c (No. 15)
Unique sites:
Sr1 0.000 0.167 0.250 x4
H1 0.000 0.380 0.750 x4
H2 0.232 0.092 0.895 x8
Rh1 0.000 0.500 0.000 x4

Calculated values
DFT total energy: -21.508 eV per formula unit



Record 20
SrTbH8Rh2: relaxed, PBE-GGA.

Lattice parameters (Å, degrees): 5.0350 5.0350 17.9662 90.00 90.00 120.00
Space group R-3 (No. 148, hexagonal axes)
Unique sites:
Sr1 0.0000 0.0000 0.0000 x3
Tb1 0.0000 0.0000 0.5000 x3
H1 0.0000 0.0000 0.3031 x6
H2 0.0412 0.6135 0.5543 x18
Rh1 0.0000 0.0000 0.2128 x6

Calculated values
DFT total energy: -51.176 eV per formula unit